[1]
{"formula": "ZrScW", "functional": "PBEsol", "state": "relaxed", "delta_e_f_ev_per_atom": 0.22, "lattice_angstrom": [[3.390, 0.000, 0.000], [0.000, 3.390, 0.000], [-1.695, -1.695, 5.206]], "species": ["Zr", "Sc", "W"], "frac_coords": [[0.308, 0.308, 0.616], [0.017, 0.017, 0.033], [0.675, 0.675, 0.351]]}

=====

[2]
{"formula": "Sr3Co2O6", "functional": "PBEsol", "state": "relaxed", "energy_ev_per_atom": -6.805, "lattice_angstrom": [[6.495, 0.006, 0.007], [-0.386, 6.483, 0.007], [-0.386, -0.410, 6.470]], "species": ["Co", "Co", "Co", "Co", "O", "O", "O", "O", "O", "O", "O", "O", "O", "O", "O", "O", "Sr", "Sr", "Sr", "Sr", "Sr", "Sr"], "frac_coords": [[0.000, 0.000, 0.000], [0.500, 0.500, 0.500], [0.750, 0.750, 0.750], [0.250, 0.250, 0.250], [0.034, 0.721, 0.907], [0.907, 0.034, 0.721], [0.721, 0.907, 0.034], [0.466, 0.593, 0.779], [0.593, 0.779, 0.466], [0.407, 0.221, 0.534], [0.779, 0.466, 0.593], [0.221, 0.534, 0.407], [0.534, 0.407, 0.221], [0.279, 0.093, 0.966], [0.966, 0.279, 0.093], [0.093, 0.966, 0.279], [0.118, 0.382, 0.750], [0.750, 0.118, 0.382], [0.250, 0.882, 0.618], [0.882, 0.618, 0.250], [0.382, 0.750, 0.118], [0.618, 0.250, 0.882]]}

=====

[3]
{"formula": "ScAlCd", "functional": "PBEsol", "state": "relaxed", "delta_e_f_ev_per_atom": -0.36, "lattice_angstrom": [[3.174, 0.000, 0.000], [0.000, 4.593, 0.000], [0.000, -2.297, 3.978]], "species": ["Cd", "Al", "Sc"], "frac_coords": [[0.000, 0.333, 0.667], [0.000, 0.000, 0.000], [0.500, 0.667, 0.333]]}

=====

[4]
{"formula": "LaCd3B", "functional": "PBEsol", "state": "relaxed", "delta_e_f_ev_per_atom": 0.30, "lattice_angstrom": [[-0.530, 2.939, -3.653], [-4.445, -1.485, -0.550], [-1.492, 3.379, 2.936]], "species": ["La", "Cd", "Cd", "Cd", "B"], "frac_coords": [[0.500, 0.500, 0.500], [0.000, 0.000, 0.500], [0.500, 0.000, 0.000], [0.000, 0.500, 0.000], [0.000, 0.000, 0.000]]}

=====

[5]
{"formula": "TlIrSe2", "functional": "PBEsol", "state": "relaxed", "energy_ev_per_atom": -4.998, "lattice_angstrom": [[2.984, 0.000, 0.000], [0.000, 3.404, 0.000], [-1.492, -1.702, 8.665]], "species": ["Ir", "Tl", "Se", "Se"], "frac_coords": [[0.196, 0.696, 0.393], [0.445, 0.445, 0.889], [0.767, 0.267, 0.534], [0.092, 0.092, 0.184]]}

=====

[6]
{"formula": "ScCdRe", "functional": "PBEsol", "state": "relaxed", "delta_e_f_ev_per_atom": 0.18, "lattice_angstrom": [[-1.268, 2.466, 0.530], [-2.021, -1.970, 0.057], [2.723, -1.156, 6.507]], "species": ["Cd", "Re", "Sc"], "frac_coords": [[0.005, 0.005, 0.011], [0.672, 0.672, 0.344], [0.323, 0.323, 0.645]]}

=====

[7]
{"formula": "FeTc2Ru", "functional": "PBEsol", "state": "relaxed", "delta_e_f_ev_per_atom": 0.13, "lattice_angstrom": [[-0.840, -0.988, 2.310], [-1.055, -2.428, 0.097], [7.142, -4.462, 2.206]], "species": ["Ru", "Tc", "Tc", "Fe"], "frac_coords": [[0.000, 0.000, 0.000], [0.247, 0.247, 0.259], [0.753, 0.753, 0.741], [0.500, 0.500, 0.500]]}

=====

[8]
{"formula": "Ca3In4Ni8", "functional": "PBEsol", "state": "relaxed", "delta_e_f_ev_per_atom": -0.28, "lattice_angstrom": [[-3.808, 5.768, -2.707], [-5.595, -5.569, -3.995], [-1.650, 2.777, 8.237]], "species": ["Ni", "Ni", "Ni", "Ni", "Ni", "Ni", "Ni", "Ni", "Ni", "Ni", "Ni", "Ni", "Ni", "Ni", "Ni", "Ni", "Ca", "Ca", "Ca", "Ca", "Ca", "Ca", "In", "In", "In", "In", "In", "In", "In", "In"], "frac_coords": [[0.073, 0.667, 0.333], [0.751, 0.902, 0.804], [0.438, 0.320, 0.160], [0.251, 0.804, 0.902], [0.251, 0.098, 0.902], [0.938, 0.160, 0.320], [0.251, 0.098, 0.196], [0.499, 0.000, 0.000], [0.938, 0.160, 0.840], [0.438, 0.840, 0.160], [0.438, 0.840, 0.680], [0.573, 0.333, 0.667], [0.938, 0.680, 0.840], [0.751, 0.902, 0.098], [0.751, 0.196, 0.098], [0.999, 0.000, 0.000], [0.266, 0.470, 0.941], [0.766, 0.530, 0.059], [0.766, 0.530, 0.470], [0.766, 0.941, 0.470], [0.266, 0.059, 0.530], [0.266, 0.470, 0.530], [0.070, 0.831, 0.169], [0.070, 0.831, 0.661], [0.570, 0.661, 0.831], [0.570, 0.169, 0.339], [0.925, 0.333, 0.667], [0.425, 0.667, 0.333], [0.570, 0.169, 0.831], [0.070, 0.339, 0.169]]}

=====

[9]
{"formula": "RePtSe2N", "functional": "PBEsol", "state": "relaxed", "energy_ev_per_atom": -6.682, "lattice_angstrom": [[-0.962, -3.252, -1.379], [-0.169, -1.868, 4.523], [-4.722, 1.252, 0.340]], "species": ["Se", "Se", "Pt", "Re", "N"], "frac_coords": [[0.000, 0.500, 0.000], [0.000, 0.000, 0.500], [0.500, 0.500, 0.500], [0.000, 0.000, 0.000], [0.500, 0.000, 0.000]]}

=====

[10]
{"formula": "CuHg2Ru", "functional": "PBEsol", "state": "relaxed", "delta_e_f_ev_per_atom": 0.42, "lattice_angstrom": [[-2.597, 1.745, 3.245], [-1.411, -2.602, 3.400], [1.671, 0.604, 4.143]], "species": ["Hg", "Hg", "Ru", "Cu"], "frac_coords": [[0.750, 0.750, 0.750], [0.250, 0.250, 0.250], [0.500, 0.500, 0.500], [0.000, 0.000, 0.000]]}

=====

[11]
{"formula": "OsSeIBr2", "functional": "PBEsol", "state": "relaxed", "energy_ev_per_atom": -3.894, "lattice_angstrom": [[4.725, 0.000, 0.000], [0.000, 5.085, 0.000], [0.000, 0.000, 5.085]], "species": ["Se", "Br", "Br", "I", "Os"], "frac_coords": [[0.500, 0.000, 0.000], [0.000, 0.000, 0.500], [0.000, 0.500, 0.000], [0.500, 0.500, 0.500], [0.000, 0.000, 0.000]]}

=====

[12]
{"formula": "LaOsSe2", "functional": "PBEsol", "state": "relaxed", "energy_ev_per_atom": -6.952, "lattice_angstrom": [[4.014, 0.000, 0.000], [0.000, 4.686, -0.007], [0.000, -0.976, 4.583]], "species": ["La", "Se", "Se", "Os"], "frac_coords": [[0.500, 0.500, 0.500], [0.000, 0.198, 0.802], [0.000, 0.802, 0.198], [0.500, 0.000, 0.000]]}

=====

[13]
{"formula": "LaScAg2Pb", "functional": "PBEsol", "state": "relaxed", "delta_e_f_ev_per_atom": 0.58, "lattice_angstrom": [[-4.380, -0.775, -2.269], [2.362, -2.207, -3.806], [-0.464, -4.973, 2.596]], "species": ["Pb", "Ag", "Ag", "La", "Sc"], "frac_coords": [[0.500, 0.500, 0.500], [0.000, 0.500, 0.000], [0.500, 0.000, 0.000], [0.000, 0.000, 0.500], [0.000, 0.000, 0.000]]}

=====

[14]
{"formula": "MnSb2Pb", "functional": "PBEsol", "state": "relaxed", "energy_ev_per_atom": -5.297, "lattice_angstrom": [[3.804, 0.000, 0.000], [0.000, 5.046, 0.000], [0.000, 0.000, 5.054]], "species": ["Sb", "Sb", "Mn", "Pb"], "frac_coords": [[0.000, 0.000, 0.000], [0.500, 0.000, 0.500], [0.500, 0.500, 0.000], [0.000, 0.500, 0.500]]}

=====

no.,spin magnetization (μB/f.u.)
1,0.00
2,4.05
3,0.00
4,0.00
5,0.00
6,0.00
7,1.14
8,0.00
9,0.00
10,0.00
11,0.00
12,0.00
13,0.00
14,4.11